Entry 1:
Computed, not measured: crystalline PmHfNi2 at its relaxed geometry at the GGA-PBE level of DFT.

abc: 3.269 3.269 6.886
angles: 90.00 90.00 90.00
Fractional coordinates of all 4 atoms:
1 Pm 0.000 0.000 0.000
2 Hf 0.000 0.000 0.500
3 Ni 0.500 0.500 0.302
4 Ni 0.500 0.500 0.698

Calculated values
Energy above the most stable polymorph in this dataset   0 meV/atom
Total moment   0.0 μB per formula unit
Mass density   9.95 g cm⁻³
Electronic total energy   -6.926 eV per atom
Volume   73.6 Å³/cell
E_form   -1.44 eV per formula unit
Crystal system   tetragonal

Entry 2:
Computed, not measured: crystalline NaAg5Cl7 at its relaxed geometry at the GGA-PBE level of DFT.

abc: 6.894 6.894 22.523
angles: 90.00 90.00 146.36
Fractional coordinates of all 26 atoms:
1 Na 0.184 0.816 0.750
2 Na 0.816 0.184 0.250
3 Ag 0.000 0.000 0.000
4 Ag 0.000 0.000 0.500
5 Ag 0.290 0.710 0.073
6 Ag 0.290 0.710 0.427
7 Ag 0.438 0.562 0.650
8 Ag 0.438 0.562 0.850
9 Ag 0.562 0.438 0.150
10 Ag 0.562 0.438 0.350
11 Ag 0.710 0.290 0.573
12 Ag 0.710 0.290 0.927
13 Cl 0.070 0.930 0.606
14 Cl 0.070 0.930 0.894
15 Cl 0.205 0.795 0.174
16 Cl 0.205 0.795 0.326
17 Cl 0.355 0.645 0.536
18 Cl 0.355 0.645 0.964
19 Cl 0.468 0.532 0.250
20 Cl 0.532 0.468 0.750
21 Cl 0.645 0.355 0.036
22 Cl 0.645 0.355 0.464
23 Cl 0.795 0.205 0.674
24 Cl 0.795 0.205 0.826
25 Cl 0.930 0.070 0.106
26 Cl 0.930 0.070 0.394

Calculated values
Energy above the most stable polymorph in this dataset   0 meV/atom
Total moment   0.0 μB per formula unit
Mass density   4.54 g cm⁻³
Electronic total energy   -2.820 eV per atom
Volume   593.1 Å³/cell
Crystal system   orthorhombic

Entry 3:
Computed, not measured: crystalline Sr2Zn2Ag at its relaxed geometry at the GGA-PBE level of DFT.

abc: 5.837 5.837 5.837
angles: 115.94 115.94 97.18
Fractional coordinates of all 5 atoms:
1 Sr 0.250 0.750 0.500
2 Sr 0.750 0.250 0.500
3 Zn 0.154 0.154 0.000
4 Zn 0.846 0.846 0.000
5 Ag 0.500 0.500 0.000

Calculated values
Energy above the most stable polymorph in this dataset   162 meV/atom
Total moment   0.0 μB per formula unit
Mass density   4.65 g cm⁻³
Electronic total energy   -1.837 eV per atom
Volume   148.0 Å³/cell
E_form   -0.42 eV per formula unit
Crystal system   tetragonal

Entry 4:
Computed, not measured: crystalline AlCoB2 at its relaxed geometry at the GGA-PBE level of DFT.

abc: 7.556 7.556 7.556
angles: 153.73 153.73 37.49
Fractional coordinates of all 8 atoms:
1 Al 0.375 0.625 0.750
2 Al 0.625 0.375 0.250
3 Co 0.125 0.875 0.250
4 Co 0.875 0.125 0.750
5 B 0.000 0.000 0.000
6 B 0.000 0.000 0.500
7 B 0.000 0.500 0.000
8 B 0.500 0.000 0.500

Calculated values
Total moment   0.0 μB per formula unit
Mass density   4.23 g cm⁻³
Electronic total energy   -5.972 eV per atom
Volume   84.4 Å³/cell
E_form   0.32 eV per formula unit
Crystal system   tetragonal

Entry 5:
Computed, not measured: crystalline Cd5Ga2Sn at its relaxed geometry at the GGA-PBE level of DFT.

abc: 7.083 7.083 7.083
angles: 145.91 106.92 83.15
Fractional coordinates of all 8 atoms:
1 Cd 0.000 0.000 0.000
2 Cd 0.044 0.355 0.689
3 Cd 0.334 0.645 0.689
4 Cd 0.666 0.355 0.311
5 Cd 0.956 0.645 0.311
6 Ga 0.285 0.285 0.000
7 Ga 0.715 0.715 0.000
8 Sn 0.500 0.000 0.500

Calculated values
Total moment   0.0 μB per formula unit
Mass density   7.34 g cm⁻³
Electronic total energy   -1.745 eV per atom
Volume   185.6 Å³/cell
E_form   0.67 eV per formula unit
Crystal system   orthorhombic

Entry 6:
Computed, not measured: crystalline YNb2Ir2 at its relaxed geometry at the GGA-PBE level of DFT.

abc: 6.114 6.114 6.114
angles: 137.34 137.34 61.92
Fractional coordinates of all 5 atoms:
1 Y 0.000 0.000 0.000
2 Nb 0.250 0.750 0.500
3 Nb 0.750 0.250 0.500
4 Ir 0.376 0.376 0.000
5 Ir 0.624 0.624 0.000

Calculated values
Energy above the most stable polymorph in this dataset   0 meV/atom
Total moment   0.0 μB per formula unit
Mass density   10.55 g cm⁻³
Electronic total energy   -9.420 eV per atom
Volume   103.7 Å³/cell
E_form   -2.77 eV per formula unit
Crystal system   tetragonal

Entry 7:
Computed, not measured: crystalline CsIn3Si at its relaxed geometry at the GGA-PBE level of DFT.

abc: 5.547 5.547 5.547
angles: 90.00 90.00 90.00
Fractional coordinates of all 5 atoms:
1 Cs 0.000 0.000 0.000
2 In 0.000 0.500 0.500
3 In 0.500 0.000 0.500
4 In 0.500 0.500 0.000
5 Si 0.500 0.500 0.500

Calculated values
Energy above the most stable polymorph in this dataset   0 meV/atom
Total moment   0.0 μB per formula unit
Mass density   4.92 g cm⁻³
Electronic total energy   -2.651 eV per atom
Volume   170.7 Å³/cell
Crystal system   cubic

Entry 8:
Computed, not measured: crystalline LaPmPr3Nd at its relaxed geometry at the GGA-PBE level of DFT.

abc: 8.262 5.258 10.477
angles: 90.00 108.46 90.00
Fractional coordinates of all 12 atoms:
1 La 0.168 0.250 0.292
2 La 0.832 0.750 0.708
3 Pm 0.499 0.750 0.876
4 Pm 0.501 0.250 0.124
5 Pr 0.168 0.250 0.792
6 Pr 0.168 0.750 0.543
7 Pr 0.169 0.750 0.042
8 Pr 0.831 0.250 0.958
9 Pr 0.832 0.250 0.457
10 Pr 0.832 0.750 0.208
11 Nd 0.500 0.250 0.626
12 Nd 0.500 0.750 0.374

Calculated values
Total moment   0.0 μB per formula unit
Mass density   6.55 g cm⁻³
Electronic total energy   -4.785 eV per atom
Volume   431.7 Å³/cell
E_form   0.08 eV per formula unit
Crystal system   monoclinic

Entry 9:
Computed, not measured: crystalline Tb7GaSi5 at its relaxed geometry at the GGA-PBE level of DFT.

abc: 7.864 7.864 7.864
angles: 136.04 93.29 102.88
Fractional coordinates of all 13 atoms:
1 Tb 0.000 0.000 0.000
2 Tb 0.340 0.660 0.680
3 Tb 0.390 0.390 0.000
4 Tb 0.437 0.102 0.334
5 Tb 0.768 0.102 0.666
6 Tb 0.858 0.358 0.500
7 Tb 0.979 0.660 0.320
8 Ga 0.694 0.694 0.000
9 Si 0.130 0.180 0.531
10 Si 0.130 0.599 0.950
11 Si 0.372 0.872 0.500
12 Si 0.649 0.180 0.050
13 Si 0.649 0.599 0.469

Calculated values
Total moment   0.0 μB per formula unit
Mass density   7.05 g cm⁻³
Electronic total energy   -5.234 eV per atom
Volume   311.6 Å³/cell
Crystal system   orthorhombic

Entry 10:
Computed, not measured: crystalline CaZn2W at its relaxed geometry at the GGA-PBE level of DFT.

abc: 5.863 5.863 5.863
angles: 150.30 126.91 62.02
Fractional coordinates of all 4 atoms:
1 Ca 0.000 0.000 0.000
2 Zn 0.280 0.780 0.500
3 Zn 0.720 0.220 0.500
4 W 0.500 0.500 0.000

Calculated values
Energy above the most stable polymorph in this dataset   343 meV/atom
Total moment   0.0 μB per formula unit
Mass density   7.44 g cm⁻³
Electronic total energy   -3.772 eV per atom
Volume   79.1 Å³/cell
E_form   2.42 eV per formula unit
Crystal system   orthorhombic

Entry 11:
Computed, not measured: crystalline TbThZnSi at its relaxed geometry at the GGA-PBE level of DFT.

abc: 5.089 5.089 5.089
angles: 60.00 60.00 60.00
Fractional coordinates of all 4 atoms:
1 Tb 0.000 0.000 0.000
2 Th 0.500 0.500 0.500
3 Zn 0.750 0.750 0.750
4 Si 0.250 0.250 0.250

Calculated values
Total moment   0.0 μB per formula unit
Mass density   8.63 g cm⁻³
Electronic total energy   -5.052 eV per atom
Volume   93.2 Å³/cell
Crystal system   cubic

Entry 12:
Computed, not measured: crystalline NdHoAlZn at its relaxed geometry at the GGA-PBE level of DFT.

abc: 5.160 5.160 5.160
angles: 60.00 60.00 60.00
Fractional coordinates of all 4 atoms:
1 Nd 0.000 0.000 0.000
2 Ho 0.500 0.500 0.500
3 Al 0.750 0.750 0.750
4 Zn 0.250 0.250 0.250

Calculated values
Energy above the most stable polymorph in this dataset   11 meV/atom
Total moment   0.0 μB per formula unit
Mass density   6.86 g cm⁻³
Electronic total energy   -3.936 eV per atom
Volume   97.2 Å³/cell
E_form   -1.38 eV per formula unit
Crystal system   cubic

Entry 13:
Computed, not measured: crystalline Ba2SrBiH at its relaxed geometry at the GGA-PBE level of DFT.

abc: 5.487 5.487 5.579
angles: 90.00 90.00 90.00
Fractional coordinates of all 5 atoms:
1 Ba 0.000 0.500 0.000
2 Ba 0.500 0.000 0.000
3 Sr 0.000 0.000 0.500
4 Bi 0.500 0.500 0.500
5 H 0.000 0.000 0.000

Calculated values
Total moment   0.7 μB per formula unit
Mass density   5.66 g cm⁻³
Electronic total energy   -3.023 eV per atom
Volume   168.0 Å³/cell
Crystal system   tetragonal

Entry 14:
Computed, not measured: crystalline Rb3La2PmSe6 at its relaxed geometry at the GGA-PBE level of DFT.

abc: 7.673 7.673 8.401
angles: 98.76 98.76 120.00
Fractional coordinates of all 12 atoms:
1 Rb 0.000 0.000 0.000
2 Rb 0.333 0.667 0.000
3 Rb 0.667 0.333 0.000
4 La 0.167 0.833 0.500
5 La 0.833 0.167 0.500
6 Pm 0.500 0.500 0.500
7 Se 0.105 0.433 0.299
8 Se 0.239 0.239 0.701
9 Se 0.433 0.105 0.299
10 Se 0.567 0.895 0.701
11 Se 0.761 0.761 0.299
12 Se 0.895 0.567 0.701

Calculated values
Total moment   0.0 μB per formula unit
Mass density   4.69 g cm⁻³
Electronic total energy   -4.991 eV per atom
Volume   408.0 Å³/cell
Crystal system   monoclinic

Entry 15:
Computed, not measured: crystalline Pm2Sm4O at its relaxed geometry at the GGA-PBE level of DFT.

abc: 9.581 9.581 9.581
angles: 150.36 150.36 42.41
Fractional coordinates of all 7 atoms:
1 Pm 0.163 0.163 0.000
2 Pm 0.837 0.837 0.000
3 Sm 0.000 0.500 0.500
4 Sm 0.364 0.364 0.000
5 Sm 0.500 0.000 0.500
6 Sm 0.636 0.636 0.000
7 O 0.500 0.500 0.000

Calculated values
Total moment   0.0 μB per formula unit
Mass density   7.02 g cm⁻³
Electronic total energy   -5.397 eV per atom
Volume   214.5 Å³/cell
Crystal system   tetragonal

Entry 16:
Computed, not measured: crystalline Y2CoMo at its relaxed geometry at the GGA-PBE level of DFT.

abc: 4.897 4.897 4.897
angles: 60.00 60.00 60.00
Fractional coordinates of all 4 atoms:
1 Y 0.250 0.250 0.250
2 Y 0.750 0.750 0.750
3 Co 0.000 0.000 0.000
4 Mo 0.500 0.500 0.500

Calculated values
Energy above the most stable polymorph in this dataset   285 meV/atom
Total moment   2.7 μB per formula unit
Mass density   6.65 g cm⁻³
Electronic total energy   -7.354 eV per atom
Volume   83.1 Å³/cell
E_form   1.45 eV per formula unit
Crystal system   cubic

Entry 17:
Computed, not measured: crystalline Pr2Ho3Th3 at its relaxed geometry at the GGA-PBE level of DFT.

abc: 9.126 9.126 3.662
angles: 90.00 90.00 120.00
Fractional coordinates of all 8 atoms:
1 Pr 0.333 0.667 0.000
2 Pr 0.667 0.333 0.000
3 Ho 0.000 0.394 0.500
4 Ho 0.394 0.000 0.500
5 Ho 0.606 0.606 0.500
6 Th 0.000 0.776 0.000
7 Th 0.224 0.224 0.000
8 Th 0.776 0.000 0.000

Calculated values
Total moment   0.0 μB per formula unit
Mass density   9.26 g cm⁻³
Electronic total energy   -5.522 eV per atom
Volume   264.1 Å³/cell
E_form   1.38 eV per formula unit
Crystal system   hexagonal

Entry 18:
Computed, not measured: crystalline Sc2TiTe4 at its relaxed geometry at the GGA-PBE level of DFT.

abc: 7.681 7.681 7.190
angles: 117.55 117.55 30.72
Fractional coordinates of all 7 atoms:
1 Sc 0.249 0.249 0.230
2 Sc 0.751 0.751 0.770
3 Ti 0.000 0.000 0.000
4 Te 0.113 0.113 0.780
5 Te 0.379 0.379 0.708
6 Te 0.621 0.621 0.292
7 Te 0.887 0.887 0.220

Calculated values
Total moment   0.3 μB per formula unit
Mass density   5.66 g cm⁻³
Electronic total energy   -5.780 eV per atom
Volume   190.1 Å³/cell
Crystal system   monoclinic

Entry 19:
Computed, not measured: crystalline YCu2Re at its relaxed geometry at the GGA-PBE level of DFT.

abc: 4.761 4.761 2.898
angles: 90.00 90.00 103.39
Fractional coordinates of all 4 atoms:
1 Y 0.000 0.000 0.000
2 Cu 0.000 0.500 0.500
3 Cu 0.500 0.000 0.500
4 Re 0.500 0.500 0.000

Calculated values
Energy above the most stable polymorph in this dataset   37 meV/atom
Total moment   0.0 μB per formula unit
Mass density   10.45 g cm⁻³
Electronic total energy   -6.476 eV per atom
Volume   63.9 Å³/cell
E_form   1.20 eV per formula unit
Crystal system   orthorhombic

Entry 20:
Computed, not measured: crystalline CeGa2Ge3 at its relaxed geometry at the GGA-PBE level of DFT.

abc: 4.708 4.708 6.152
angles: 90.00 90.00 120.00
Fractional coordinates of all 6 atoms:
1 Ce 0.000 0.000 0.000
2 Ga 0.333 0.667 0.706
3 Ga 0.667 0.333 0.294
4 Ge 0.000 0.000 0.500
5 Ge 0.333 0.667 0.277
6 Ge 0.667 0.333 0.723

Calculated values
Total moment   0.0 μB per formula unit
Mass density   7.00 g cm⁻³
Electronic total energy   -4.604 eV per atom
Volume   118.1 Å³/cell
E_form   -1.78 eV per formula unit
Crystal system   trigonal

Entry 21:
Computed, not measured: crystalline ScGeSe3 at its relaxed geometry at the GGA-PBE level of DFT.

abc: 10.211 10.211 6.811
angles: 90.00 90.00 158.61
Fractional coordinates of all 10 atoms:
1 Sc 0.172 0.828 0.500
2 Sc 0.828 0.172 0.000
3 Ge 0.350 0.650 0.496
4 Ge 0.650 0.350 0.996
5 Se 0.090 0.910 0.174
6 Se 0.251 0.749 0.824
7 Se 0.404 0.596 0.164
8 Se 0.596 0.404 0.664
9 Se 0.749 0.251 0.324
10 Se 0.910 0.090 0.674

Calculated values
Energy above the most stable polymorph in this dataset   0 meV/atom
Total moment   0.0 μB per formula unit
Mass density   4.55 g cm⁻³
Electronic total energy   -5.188 eV per atom
Volume   259.0 Å³/cell
Crystal system   orthorhombic

Entry 22:
Computed, not measured: crystalline RuRhC at its relaxed geometry at the GGA-PBE level of DFT.

abc: 4.180 2.759 6.575
angles: 90.00 106.81 90.00
Fractional coordinates of all 6 atoms:
1 Ru 0.000 0.000 0.000
2 Ru 0.143 0.000 0.418
3 Rh 0.564 0.500 0.178
4 Rh 0.724 0.500 0.607
5 C 0.231 0.500 0.867
6 C 0.274 0.500 0.661

Calculated values
Energy above the most stable polymorph in this dataset   82 meV/atom
Total moment   0.0 μB per formula unit
Mass density   9.88 g cm⁻³
Electronic total energy   -8.211 eV per atom
Volume   72.6 Å³/cell
E_form   1.22 eV per formula unit
Crystal system   monoclinic

Entry 23:
Computed, not measured: crystalline CsHoGeS4 at its relaxed geometry at the GGA-PBE level of DFT.

abc: 6.493 6.823 9.497
angles: 90.00 108.23 90.00
Fractional coordinates of all 14 atoms:
1 Cs 0.238 0.250 0.439
2 Cs 0.762 0.750 0.561
3 Ho 0.279 0.250 0.954
4 Ho 0.721 0.750 0.046
5 Ge 0.272 0.750 0.157
6 Ge 0.728 0.250 0.843
7 S 0.053 0.750 0.927
8 S 0.071 0.750 0.306
9 S 0.495 0.502 0.810
10 S 0.495 0.998 0.810
11 S 0.505 0.002 0.190
12 S 0.505 0.498 0.190
13 S 0.929 0.250 0.694
14 S 0.947 0.250 0.073

Calculated values
Total moment   0.0 μB per formula unit
Mass density   4.14 g cm⁻³
Electronic total energy   -5.056 eV per atom
Volume   399.6 Å³/cell
Crystal system   monoclinic

Entry 24:
Computed, not measured: crystalline Cu2TeS2I at its relaxed geometry at the GGA-PBE level of DFT.

abc: 7.001 5.830 8.389
angles: 90.00 102.56 90.00
Fractional coordinates of all 12 atoms:
1 Cu 0.071 0.026 0.211
2 Cu 0.071 0.474 0.211
3 Cu 0.929 0.526 0.789
4 Cu 0.929 0.974 0.789
5 Te 0.340 0.250 0.623
6 Te 0.660 0.750 0.377
7 S 0.001 0.750 0.375
8 S 0.324 0.250 0.334
9 S 0.676 0.750 0.666
10 S 0.999 0.250 0.625
11 I 0.226 0.750 0.986
12 I 0.774 0.250 0.014

Calculated values
Total moment   0.0 μB per formula unit
Mass density   4.43 g cm⁻³
Electronic total energy   -3.587 eV per atom
Volume   334.2 Å³/cell
Crystal system   monoclinic

Entry 25:
Computed, not measured: crystalline NdPuHgBi at its relaxed geometry at the GGA-PBE level of DFT.

abc: 5.480 5.480 5.480
angles: 60.00 60.00 60.00
Fractional coordinates of all 4 atoms:
1 Nd 0.000 0.000 0.000
2 Pu 0.500 0.500 0.500
3 Hg 0.250 0.250 0.250
4 Bi 0.750 0.750 0.750

Calculated values
Total moment   7.0 μB per formula unit
Mass density   11.38 g cm⁻³
Electronic total energy   -6.214 eV per atom
Volume   116.4 Å³/cell
E_form   -1.57 eV per formula unit
Crystal system   cubic